A plane-wave DFT calculation with GGA+U was carried out for a relaxed AlTl2WO6 crystal.

The structure in POSCAR format:
```
AlTl2WO6
1.0
5.7409 0.0000 0.0000
2.8704 4.9717 0.0000
2.8704 1.6572 9.3686
W O Al Tl
2 12 2 4
Cartesian
0.0000 0.0000 0.0000 W
5.7409 3.3145 4.6843 W
7.0212 2.5753 3.4182 O
7.1987 4.1562 1.1049 O
5.7409 1.8361 5.9504 O
4.2831 4.1562 1.1049 O
7.0212 4.0537 5.9504 O
7.1987 2.4728 8.2637 O
5.7409 1.6312 1.1049 O
5.7409 4.7929 3.4182 O
4.4605 4.0537 5.9504 O
5.7409 4.9978 8.2637 O
4.2831 2.4728 8.2637 O
4.4605 2.5753 3.4182 O
5.7409 3.3145 7.4479 Al
5.7409 3.3145 1.9207 Al
2.8704 1.6572 5.7569 Tl
2.8704 1.6572 1.6239 Tl
8.6113 4.9717 7.7447 Tl
8.6113 4.9717 3.6117 Tl
```

Properties
Total DFT energy (no corrections) ... -123.3 eV per cell
Space-group type ... R-3m, No. 166